Here is a relaxed Th5SnGe2 crystal from the Alexandria database. Energies are from PBE-GGA.

```
Th5SnGe2
1.0
-3.9956 3.9956 7.1052
3.9956 -3.9956 7.1052
3.9956 3.9956 -7.1052
Th Sn Ge
10 2 4
Direct
0.0000 0.0000 0.0000
0.0118 0.5118 0.8136
0.1982 0.0118 0.5000
0.3018 0.8018 0.8136
0.4882 0.3018 0.5000
0.5000 0.5000 0.0000
0.5118 0.6982 0.5000
0.6982 0.1982 0.1864
0.8018 0.9882 0.5000
0.9882 0.4882 0.1864
0.2500 0.2500 0.0000
0.7500 0.7500 0.0000
0.1390 0.3610 0.5000
0.3610 0.8610 0.2220
0.6390 0.1390 0.7780
0.8610 0.6390 0.5000
```

Output
ΔH_f (0 K) = -13.0 kcal/mol of atoms